1.
Compound: KFe2CuCl8
Source: Alexandria via LeMat-Bulk
Functional: GGA-PBE
Structure: optimized geometry

Cell: 6.394 6.394 9.011 Å, 90.00 90.00 120.00°
Atoms (fractional coordinates):
K1 0.000 0.000 0.000
Fe1 0.333 0.667 0.739
Fe2 0.667 0.333 0.261
Cu1 0.000 0.000 0.500
Cl1 0.015 0.320 0.666
Cl2 0.305 0.985 0.666
Cl3 0.320 0.305 0.334
Cl4 0.333 0.667 0.983
Cl5 0.667 0.333 0.017
Cl6 0.680 0.695 0.666
Cl7 0.695 0.015 0.334
Cl8 0.985 0.680 0.334

Results
Symmetry: P-3 (147)
Final energy in eV/atom: -4.01

2.
Compound: P2IrAu
Source: Alexandria via LeMat-Bulk
Functional: GGA-PBE
Structure: optimized geometry

Cell: 3.378 3.378 7.492 Å, 90.00 90.00 120.00°
Atoms (fractional coordinates):
P1 0.000 0.000 0.185
P2 0.000 0.000 0.815
Ir1 0.333 0.667 0.000
Au1 0.000 0.000 0.500

Results
Polymorph energy (0 for the lowest one) in meV per atom: 54.0
Calculated formation energy in eV per atom: -0.171
Symmetry: P-6m2 (187)
Final energy in eV/atom: -5.91

3.
Compound: La4OsS2Cl
Source: Alexandria via LeMat-Bulk
Functional: GGA-PBE
Structure: optimized geometry

Cell: 7.301 4.139 7.341 Å, 90.00 107.73 90.00°
Atoms (fractional coordinates):
La1 0.244 0.000 0.235
La2 0.253 0.500 0.773
La3 0.747 0.500 0.227
La4 0.756 0.000 0.765
Os1 0.000 0.500 0.000
S1 0.500 0.000 0.000
S2 0.500 0.500 0.500
Cl1 0.000 0.000 0.500

Results
Symmetry: P2/m (10)
Final energy in eV/atom: -6.60

4.
Compound: Cs3Ag2Cl9
Source: Alexandria via LeMat-Bulk
Functional: GGA-PBE
Structure: optimized geometry

Cell: 7.345 7.345 9.172 Å, 90.00 90.00 120.00°
Atoms (fractional coordinates):
Cs1 0.000 0.000 0.000
Cs2 0.333 0.667 0.352
Cs3 0.667 0.333 0.648
Ag1 0.333 0.667 0.839
Ag2 0.667 0.333 0.161
Cl1 0.000 0.500 0.000
Cl2 0.172 0.344 0.688
Cl3 0.172 0.828 0.688
Cl4 0.344 0.172 0.312
Cl5 0.500 0.000 0.000
Cl6 0.500 0.500 0.000
Cl7 0.656 0.828 0.688
Cl8 0.828 0.172 0.312
Cl9 0.828 0.656 0.312

Results
Symmetry: P-3m1 (164)
Final energy in eV/atom: -2.78

| no. | DOS at the Fermi energy (states/eV/cell) | calculated density (g cm⁻³) |
| --- | --- | --- |
| 1 | 0.5 | 2.6 |
| 2 | 2.2 | 10.1 |
| 3 | 6.4 | 6.6 |
| 4 | 8.9 | 3.6 |